PBE-GGA NaAcGa2Au2, relaxed; space group = P-3m1; total magnetization = 0.0 μB/cell
1.0
-3.7726 2.3206 -1.4169
-0.4193 -4.3170 1.6770
-0.8674 2.6977 6.7278
Ac Au Ga Na
1 2 2 1
direct
0.0000 0.0000 0.0000
0.6667 0.3333 0.2869
0.3333 0.6667 0.7131
0.6667 0.3333 0.6944
0.3333 0.6667 0.3056
0.0000 0.0000 0.5000

---

PBE-GGA NaAc2Ga3Au12, relaxed; space group = R-3m; total magnetization = 0.0 μB/cell
1.0
-0.4461 3.9735 6.8583
-5.3794 -3.7330 4.4890
4.0168 -4.2275 5.3867
Ga Au Na Ac
3 12 1 2
direct
0.5000 0.0000 0.0000
0.0000 0.5000 0.0000
0.0000 0.0000 0.5000
0.6851 0.6851 0.1698
0.8528 0.8528 0.3565
0.6435 0.1472 0.1472
0.8302 0.3149 0.3149
0.6851 0.1698 0.6851
0.3149 0.8302 0.3149
0.3149 0.3149 0.8302
0.3565 0.8528 0.8528
0.1472 0.1472 0.6435
0.1472 0.6435 0.1472
0.1698 0.6851 0.6851
0.8528 0.3565 0.8528
0.0000 0.0000 0.0000
0.3864 0.3864 0.3864
0.6136 0.6136 0.6136

---

PBE-GGA NaAcGa2Au5, relaxed; space group = P4/mmm; total magnetization = 0.0 μB/cell
1.0
4.8631 0.0000 0.0000
0.0000 4.8631 0.0000
0.0000 0.0000 8.6412
Au Ga Na Ac
5 2 1 1
direct
0.5000 0.0000 0.7436
0.5000 0.0000 0.2564
0.0000 0.5000 0.7436
0.5000 0.5000 0.5000
0.0000 0.5000 0.2564
0.5000 0.5000 0.1504
0.5000 0.5000 0.8496
0.0000 0.0000 0.0000
0.0000 0.0000 0.5000

---

PBE-GGA Ac2Ga4NiAu3, relaxed; space group = P-4m2; total magnetization = 0.0 μB/cell
1.0
-2.9389 -3.2261 -1.1533
3.0765 -1.8163 -2.7588
3.5416 -6.0659 7.9432
Au Ga Ni Ac
3 4 1 2
direct
0.5000 0.0000 0.8634
0.0000 0.5000 0.1366
0.0000 0.0000 0.5000
0.0000 0.5000 0.3844
0.5000 0.0000 0.6156
0.0000 0.0000 0.0000
0.5000 0.5000 0.0000
0.5000 0.5000 0.5000
0.5000 0.0000 0.2579
0.0000 0.5000 0.7421

---

no.,VASP energy (eV per atom),D(E_F) (states/eV per atom)
1,-3.539,0.72
2,-3.425,0.29
3,-3.520,0.42
4,-4.217,0.52